Material: Sr2InSb
Method: DFT, PBE
State: optimized geometry Values from VASP.

The structure in Quantum ESPRESSO input format:
```
&SYSTEM
  ibrav = 0, nat = 4, ntyp = 3
/
ATOMIC_SPECIES
Sr 87.62 Sr.upf
In 114.82 In.upf
Sb 121.76 Sb.upf
ATOMIC_POSITIONS angstrom
Sr -3.2555 0.8462 -2.1334
Sr -5.5040 1.5631 2.6149
In -2.6479 0.7520 1.2580
Sb -6.1571 1.6702 -0.7549
CELL_PARAMETERS angstrom
-0.4741 3.5264 -3.1059
-2.2366 -2.9133 -2.9663
-5.9415 1.6874 2.8228
```

Results
Crystal system: tetragonal
Magnetic moment: 0.00 μB per formula unit
Electronic total energy: -2.95 eV/atom